1 | Compound: BeAlTe
Source: Alexandria
Functional: PBE
Structure: relaxed

POSCAR file:
```
BeAlTe
1.0
4.0390 0.0003 0.0001
-1.0217 5.8020 -0.0004
-1.2891 -1.5563 5.8502
Al Be Te
2 2 2
Direct
0.5881 0.0583 0.0451 Al
0.7424 0.5170 0.1299 Al
0.9881 0.9178 0.7783 Be
0.1527 0.2662 0.0555 Be
0.0277 0.9650 0.3866 Te
0.4432 0.6213 0.7354 Te
```

Space-group type: P1, No. 1
Magnetization (μB/cell): 0.00

2 | Compound: BeAlTe
Source: Alexandria
Functional: PBE
Structure: relaxed

POSCAR file:
```
BeAlTe
1.0
4.0383 0.0026 -0.0023
-0.8983 3.9786 0.0010
-0.2354 -0.6099 9.1033
Te Al Be
2 2 2
Direct
0.6390 0.0552 0.5134 Te
0.2496 0.6279 0.9392 Te
0.7896 0.7124 0.1377 Al
0.3396 0.4721 0.3711 Al
0.2978 0.1924 0.1233 Be
0.8150 0.2279 0.2610 Be
```

Space-group type: P1, No. 1
Magnetization (μB/cell): 0.00

Unit: kJ/mol of atoms. Relative energies: 1 13.9; 2 0.0.

1 | Compound: BeAlTe
Source: Alexandria
Functional: PBE
Structure: relaxed

POSCAR file:
```
BeAlTe
1.0
-1.5770 2.2920 3.0374
-2.0805 -1.8372 3.0952
7.7158 -2.0999 5.6531
Al Be Te
2 2 2
Direct
0.3702 0.7982 0.3076 Al
0.7662 0.9027 0.0544 Al
0.7074 0.1562 0.2795 Be
0.0532 0.4678 0.2818 Be
0.4063 0.6236 0.9193 Te
0.8539 0.7268 0.5030 Te
```

Space-group type: P1, No. 1
Magnetization (μB/cell): 0.00

2 | Compound: BeAlTe
Source: Alexandria
Functional: PBE
Structure: relaxed

POSCAR file:
```
BeAlTe
1.0
-2.9113 0.2980 -2.3118
-3.7538 -2.2032 1.4594
-3.8922 7.1408 3.0210
Te Al Be
2 2 2
Direct
0.0755 0.1294 0.6899 Te
0.9245 0.8706 0.3101 Te
0.1800 0.7057 0.9264 Al
0.8200 0.2943 0.0736 Al
0.4843 0.1330 0.8885 Be
0.5157 0.8670 0.1115 Be
```

Space-group type: P-1, No. 2
Magnetization (μB/cell): 0.00

Unit: kJ/mol of atoms. Relative energies: 1 0.0; 2 6.4.

1 | Compound: BeAl2Te
Source: Alexandria
Functional: PBE
Structure: relaxed

POSCAR file:
```
BeAl2Te
1.0
-0.7431 -2.5905 -3.8851
1.0383 -2.8130 3.6560
-3.5154 -0.2270 0.8237
Al Te Be
2 1 1
Direct
0.5000 0.5000 0.0000 Al
0.0000 0.0000 0.0000 Al
0.0000 0.5000 0.5000 Te
0.5000 0.0000 0.5000 Be
```

Space-group type: Cmmm, No. 65
Magnetization (μB/cell): 0.00

2 | Compound: BeAl2Te
Source: Alexandria
Functional: PBE
Structure: relaxed

POSCAR file:
```
BeAl2Te
1.0
3.7169 0.0000 0.0000
0.0000 3.8075 0.0000
0.0000 0.0000 5.4771
Al Be Te
2 1 1
Direct
0.5000 0.5000 0.0000 Al
0.0000 0.0000 0.0000 Al
0.5000 0.0000 0.5000 Be
0.0000 0.5000 0.5000 Te
```

Space-group type: Pmmm, No. 47
Magnetization (μB/cell): 0.00

Unit: kJ/mol of atoms. Relative energies: 1 4.0; 2 0.0.

1 | Compound: BeAl2Te2
Source: Alexandria
Functional: PBE
Structure: relaxed

POSCAR file:
```
BeAl2Te2
1.0
-5.2186 2.4398 -5.0331
3.6890 -3.6730 -5.6054
-2.2298 -3.3153 0.7049
Al Be Te
4 2 4
Direct
0.8815 0.3815 0.5000 Al
0.6185 0.8815 0.5000 Al
0.1185 0.6185 0.5000 Al
0.3815 0.1185 0.5000 Al
0.0000 0.0000 0.0000 Be
0.5000 0.5000 0.0000 Be
0.2877 0.7877 0.0000 Te
0.7123 0.2123 0.0000 Te
0.2123 0.2877 0.0000 Te
0.7877 0.7123 0.0000 Te
```

Space-group type: P4/mbm, No. 127
Magnetization (μB/cell): 0.00

2 | Compound: BeAl2Te2
Source: Alexandria
Functional: PBE
Structure: relaxed

POSCAR file:
```
BeAl2Te2
1.0
4.9927 0.0000 0.0000
0.0000 4.9927 0.0000
2.4963 2.4963 6.1418
Te Al Be
2 2 1
Direct
0.3514 0.3514 0.2973 Te
0.6486 0.6486 0.7027 Te
0.7500 0.2500 0.5000 Al
0.2500 0.7500 0.5000 Al
0.0000 0.0000 0.0000 Be
```

Space-group type: I4/mmm, No. 139
Magnetization (μB/cell): 0.00

Unit: kJ/mol of atoms. Relative energies: 1 0.0; 2 25.5.

1 | Compound: Be2AlTe
Source: Alexandria
Functional: PBE
Structure: relaxed

POSCAR file:
```
Be2AlTe
1.0
3.4028 0.1967 0.0000
-0.2476 3.3995 0.0000
0.0000 0.0000 5.5751
Be Te Al
2 1 1
Direct
0.0000 0.0000 0.9435 Be
0.0000 0.0000 0.5565 Be
0.5000 0.5000 0.2500 Te
0.5000 0.5000 0.7500 Al
```

Space-group type: Cmmm, No. 65
Magnetization (μB/cell): 0.00

2 | Compound: Be2AlTe
Source: Alexandria
Functional: PBE
Structure: relaxed

POSCAR file:
```
Be2AlTe
1.0
5.8465 0.0037 0.0019
3.6848 4.5391 -0.0019
-4.7920 -2.2160 2.5114
Be Al Te
2 1 1
Direct
0.8054 0.3054 0.5000 Be
0.9270 0.9270 0.0000 Be
0.2467 0.7467 0.5000 Al
0.5210 0.5210 0.0000 Te
```

Space-group type: Imm2, No. 44
Magnetization (μB/cell): 0.00

Unit: kJ/mol of atoms. Relative energies: 1 13.0; 2 0.0.

1 | Compound: Be2AlTe
Source: Alexandria
Functional: PBE
Structure: relaxed

POSCAR file:
```
Be2AlTe
1.0
-4.7179 -0.0929 -0.2381
-0.9725 -4.6064 -0.3994
2.7021 2.1265 3.2404
Be Te Al
2 1 1
Direct
0.5000 0.5000 0.0000 Be
0.0000 0.0000 0.0000 Be
0.2500 0.7500 0.5000 Te
0.7500 0.2500 0.5000 Al
```

Space-group type: I4/mmm, No. 139
Magnetization (μB/cell): 0.00

2 | Compound: Be2AlTe
Source: Alexandria
Functional: PBE
Structure: relaxed

POSCAR file:
```
Be2AlTe
1.0
-1.5356 -2.5998 -1.6872
0.5327 -2.5422 3.4326
-3.8201 1.2641 1.5290
Be Te Al
2 1 1
Direct
0.0000 0.5000 0.5000 Be
0.0000 0.0000 0.0000 Be
0.5000 0.5000 0.0000 Te
0.5000 0.0000 0.5000 Al
```

Space-group type: P4/mmm, No. 123
Magnetization (μB/cell): 0.00

Unit: kJ/mol of atoms. Relative energies: 1 3.8; 2 0.0.